(1)
Material: Rb2NaMoBr6
Method: DFT, SCAN
State: single point on PBEsol structure

Summary:
Total magnetic moment ... 3.00 Bohr magnetons per cell
SG ... Fm-3m (225)
ΔE_f (raw) ... -138 kJ per mole of atoms
E ... -1.556 Ry per atom

Geometry as POSCAR:
```
Rb2NaMoBr6
1.0
7.635 0.000 0.000
3.818 6.612 0.000
3.818 2.204 6.234
Rb Na Mo Br
2 1 1 6
Cartesian
11.453 6.612 4.676 Rb
3.818 2.204 1.559 Rb
7.635 4.408 3.117 Na
0.000 0.000 0.000 Mo
7.635 2.093 1.480 Br
9.640 5.566 1.480 Br
7.635 6.723 4.754 Br
9.640 3.251 4.754 Br
5.630 5.566 1.480 Br
5.630 3.251 4.754 Br
```

(2)
Material: NbMoBr2
Method: DFT, SCAN
State: single point on PBEsol structure

Summary:
Total magnetic moment ... 0.00 Bohr magnetons per cell
SG ... Fm-3m (225)
ΔE_f (raw) ... 88 kJ per mole of atoms
E ... -1.898 Ry per atom

Geometry as POSCAR:
```
NbMoBr2
1.0
-2.542 3.610 1.018
-0.632 1.177 4.329
1.944 3.752 1.635
Mo Nb Br
1 1 2
Cartesian
-0.615 4.269 3.491 Mo
0.000 0.000 0.000 Nb
-0.307 2.135 1.746 Br
-0.922 6.404 5.237 Br
```

(3)
Material: NiMo3Br
Method: DFT, SCAN
State: single point on PBEsol structure

Summary:
Total magnetic moment ... 0.00 Bohr magnetons per cell
SG ... Pm-3m (221)
ΔE_f (raw) ... 172 kJ per mole of atoms
E ... -1.931 Ry per atom

Geometry as POSCAR:
```
NiMo3Br
1.0
-1.103 3.704 -2.295
-2.604 1.338 3.411
3.494 2.166 1.817
Ni Mo Br
1 3 1
Cartesian
0.000 0.000 0.000 Ni
-1.302 0.669 1.705 Mo
1.747 1.083 0.909 Mo
-0.551 1.852 -1.147 Mo
-0.106 3.604 1.467 Br
```

(4)
Material: ScNi2MoBr
Method: DFT, SCAN
State: single point on PBEsol structure

Summary:
Total magnetic moment ... 0.00 Bohr magnetons per cell
SG ... P4/mmm (123)
ΔE_f (raw) ... 74 kJ per mole of atoms
E ... -1.427 Ry per atom

Geometry as POSCAR:
```
ScNi2MoBr
1.0
-3.103 -3.213 -0.063
0.358 -0.433 4.432
-3.409 3.281 0.595
Sc Ni Mo Br
1 2 1 1
Cartesian
-3.077 -0.182 2.482 Sc
0.179 -0.216 2.216 Ni
-1.552 -1.607 -0.032 Ni
0.000 0.000 0.000 Mo
-1.705 1.640 0.298 Br
```

(5)
Material: MoP2BrO
Method: DFT, SCAN
State: single point on PBEsol structure

Summary:
Total magnetic moment ... 2.50 Bohr magnetons per cell
SG ... P4/mmm (123)
ΔE_f (raw) ... 123 kJ per mole of atoms
E ... -1.103 Ry per atom

Geometry as POSCAR:
```
MoP2BrO
1.0
-3.093 -0.822 1.581
1.816 -4.193 1.371
1.542 1.992 4.051
P Mo O Br
2 1 1 1
Cartesian
0.771 0.996 2.026 P
0.908 -2.097 0.685 P
0.132 -1.512 3.502 Mo
-1.546 -0.411 0.791 O
0.000 0.000 0.000 Br
```

(6)
Material: SmMoBrO4
Method: DFT, SCAN
State: single point on PBEsol structure

Summary:
Total magnetic moment ... 0.00 Bohr magnetons per cell
SG ... P-1 (2)
ΔE_f (raw) ... -255 kJ per mole of atoms
E ... -1.493 Ry per atom

Geometry as POSCAR:
```
SmMoBrO4
1.0
-0.441 -3.406 5.932
7.206 -1.212 -0.414
-1.376 10.840 2.321
Sm Mo Br O
4 4 4 16
Cartesian
-0.403 5.602 5.405 Sm
5.791 0.620 2.434 Sm
3.384 6.200 3.893 Sm
2.004 0.022 3.947 Sm
5.382 -2.050 4.356 Mo
0.006 8.272 3.483 Mo
2.999 3.514 5.808 Mo
2.390 2.708 2.031 Mo
6.216 3.517 2.291 Br
-0.828 2.705 5.548 Br
3.730 9.093 3.202 Br
1.658 -2.871 4.638 Br
3.645 7.238 5.964 O
1.744 -1.016 1.876 O
5.942 1.174 0.150 O
-0.553 5.048 7.690 O
4.210 -0.763 3.923 O
1.178 6.985 3.917 O
5.724 6.350 3.764 O
-0.335 -0.128 4.076 O
3.546 6.511 1.561 O
1.843 -0.289 6.279 O
1.785 4.781 5.515 O
3.604 1.441 2.325 O
2.674 2.051 4.903 O
2.714 4.171 2.937 O
4.466 4.362 5.217 O
0.922 1.860 2.622 O
```

(7)
Material: TbMoBrO4
Method: DFT, SCAN
State: single point on PBEsol structure

Summary:
Total magnetic moment ... 0.00 Bohr magnetons per cell
SG ... P-1 (2)
ΔE_f (raw) ... -255 kJ per mole of atoms
E ... -1.518 Ry per atom

Geometry as POSCAR:
```
TbMoBrO4
1.0
-2.891 2.606 -5.574
-3.842 -6.067 -0.438
-3.999 5.440 8.616
Tb Mo Br O
4 4 4 16
Cartesian
-5.242 4.893 2.688 Tb
-5.489 -2.914 -0.084 Tb
-6.710 1.257 4.138 Tb
-4.021 0.722 -1.534 Tb
-5.779 -2.282 -3.304 Mo
-4.953 4.262 5.908 Mo
-7.029 1.843 0.859 Mo
-3.702 0.137 1.745 Mo
-6.602 -2.547 2.571 Br
-4.129 4.526 0.033 Br
-7.234 1.531 7.037 Br
-3.497 0.448 -4.433 Br
-8.576 2.558 4.197 O
-2.155 -0.579 -1.593 O
-4.153 -4.105 1.368 O
-6.578 6.085 1.236 O
-5.121 -1.221 -2.019 O
-5.610 3.200 4.623 O
-8.156 -0.483 4.446 O
-2.576 2.463 -1.842 O
-5.311 -0.129 5.317 O
-5.421 2.108 -2.713 O
-6.453 3.126 1.918 O
-4.278 -1.147 0.685 O
-5.706 1.157 -0.071 O
-5.025 0.822 2.675 O
-7.760 0.693 2.048 O
-2.971 1.287 0.556 O
```

(8)
Material: MoOs2Br
Method: DFT, SCAN
State: single point on PBEsol structure

Summary:
Total magnetic moment ... 0.00 Bohr magnetons per cell
SG ... R-3m (166)
ΔE_f (raw) ... 75 kJ per mole of atoms
E ... -3.583 Ry per atom

Geometry as POSCAR:
```
MoOs2Br
1.0
2.848 0.000 0.000
1.424 2.466 0.000
1.424 0.822 8.745
Mo Os Br
1 2 1
Cartesian
0.000 0.000 0.000 Mo
1.424 0.822 2.107 Os
4.271 2.466 6.638 Os
2.848 1.644 4.373 Br
```

(9)
Material: MoOs2Br
Method: DFT, SCAN
State: single point on PBEsol structure

Summary:
Total magnetic moment ... 0.00 Bohr magnetons per cell
SG ... I4/mmm (139)
ΔE_f (raw) ... 135 kJ per mole of atoms
E ... -3.538 Ry per atom

Geometry as POSCAR:
```
MoOs2Br
1.0
-3.231 1.935 -1.218
-2.043 -1.498 3.041
3.645 2.838 1.271
Mo Os Br
1 2 1
Cartesian
0.000 0.000 0.000 Mo
-1.111 2.496 0.482 Os
-0.517 0.780 2.612 Os
-2.637 0.219 0.912 Br
```

(10)
Material: MoOs2Br
Method: DFT, SCAN
State: single point on PBEsol structure

Summary:
Total magnetic moment ... 0.00 Bohr magnetons per cell
SG ... C2/m (12)
ΔE_f (raw) ... 120 kJ per mole of atoms
E ... -3.549 Ry per atom

Geometry as POSCAR:
```
MoOs2Br
1.0
2.867 -0.007 0.000
-0.301 4.718 0.000
-1.283 -2.355 4.509
Mo Os Br
1 2 1
Cartesian
-0.151 2.359 0.000 Mo
-0.641 -1.178 2.254 Os
0.641 1.178 2.254 Os
1.433 -0.004 0.000 Br
```

(11)
Material: MoOs2Br
Method: DFT, SCAN
State: single point on PBEsol structure

Summary:
Total magnetic moment ... 0.00 Bohr magnetons per cell
SG ... P4/mmm (123)
ΔE_f (raw) ... 140 kJ per mole of atoms
E ... -3.533 Ry per atom

Geometry as POSCAR:
```
MoOs2Br
1.0
2.865 0.000 0.000
0.000 4.629 0.000
0.000 0.000 4.629
Mo Os Br
1 2 1
Cartesian
1.433 0.000 0.000 Mo
0.000 0.000 2.315 Os
0.000 2.315 0.000 Os
1.433 2.315 2.315 Br
```

(12)
Material: MoOs2Br
Method: DFT, SCAN
State: single point on PBEsol structure

Summary:
Total magnetic moment ... 0.00 Bohr magnetons per cell
SG ... Cmmm (65)
ΔE_f (raw) ... 131 kJ per mole of atoms
E ... -3.540 Ry per atom

Geometry as POSCAR:
```
MoOs2Br
1.0
2.849 0.000 0.000
0.000 4.692 -0.006
0.000 -1.112 4.559
Mo Os Br
1 2 1
Cartesian
1.425 1.790 2.277 Mo
0.000 2.346 -0.003 Os
0.000 -0.556 2.279 Os
1.425 0.000 0.000 Br
```

(13)
Material: MoOsSeBr2
Method: DFT, SCAN
State: single point on PBEsol structure

Summary:
Total magnetic moment ... 2.40 Bohr magnetons per cell
SG ... P4/mmm (123)
ΔE_f (raw) ... 127 kJ per mole of atoms
E ... -2.340 Ry per atom

Geometry as POSCAR:
```
MoOsSeBr2
1.0
-2.706 3.568 -1.789
-2.896 -3.361 -2.321
-2.964 -0.228 4.029
Mo Os Se Br
1 1 1 2
Cartesian
0.000 0.000 0.000 Mo
-4.283 -0.010 -0.041 Os
-1.353 1.784 -0.895 Se
-1.482 -0.114 2.014 Br
-1.448 -1.680 -1.161 Br
```